1.
Below is a PBEsol-optimized structure of Mo2IrBr, with properties calculated at the SCAN level.

Calculated values
- raw formation energy (kJ/mol of atoms) = 103.1
- V (Å³/atom) = 15.558
- density of states at the Fermi level (states/eV per cell) = 3.51

extended XYZ file:
```
4
Lattice="-1.919 1.919 4.225 1.919 -1.919 4.225 1.919 1.919 -4.225" Properties=species:S:1:pos:R:3 pbc="T T T"
Mo 1.919 0.000 2.112
Mo 0.000 1.919 2.112
Ir 0.000 0.000 0.000
Br 0.000 0.000 4.225
```

2.
Below is a PBEsol-optimized structure of LaCdI2N, with properties calculated at the SCAN level.

Calculated values
- raw formation energy (kJ/mol of atoms) = -38.1
- V (Å³/atom) = 33.461
- density of states at the Fermi level (states/eV per cell) = 1.72

extended XYZ file:
```
5
Lattice="6.366 0.000 0.000 0.000 6.366 0.000 0.000 0.000 4.128" Properties=species:S:1:pos:R:3 pbc="T T T"
La 0.000 0.000 0.000
Cd 3.183 3.183 2.064
I 0.000 3.183 0.000
I 3.183 0.000 0.000
N 0.000 0.000 2.064
```

3.
Below is a PBEsol-optimized structure of Li4ZnCl, with properties calculated at the SCAN level.

Calculated values
- raw formation energy (kJ/mol of atoms) = -12.4
- V (Å³/atom) = 19.481
- density of states at the Fermi level (states/eV per cell) = 0.93

extended XYZ file:
```
6
Lattice="0.000 3.881 3.881 3.881 0.000 3.881 3.881 3.881 0.000" Properties=species:S:1:pos:R:3 pbc="T T T"
Li 2.917 2.917 2.917
Li 4.845 4.845 2.917
Li 4.845 2.917 4.845
Li 2.917 4.845 4.845
Zn 5.821 5.821 5.821
Cl 0.000 0.000 0.000
```

4.
Below is a PBEsol-optimized structure of YRh2Pb, with properties calculated at the SCAN level.

Calculated values
- calculated formation energy (eV/atom) = -0.534
- V (Å³/atom) = 18.291
- density of states at the Fermi level (states/eV per cell) = 1.84

extended XYZ file:
```
4
Lattice="-1.980 1.980 4.667 1.980 -1.980 4.667 1.980 1.980 -4.667" Properties=species:S:1:pos:R:3 pbc="T T T"
Y 0.000 0.000 0.000
Rh 1.980 0.000 2.334
Rh 0.000 0.000 4.667
Pb 0.000 1.980 2.334
```

5.
Below is a PBEsol-optimized structure of LiCuNi2, with properties calculated at the SCAN level.

Calculated values
- calculated formation energy (eV/atom) = 0.040
- V (Å³/atom) = 11.115
- density of states at the Fermi level (states/eV per cell) = 2.33

extended XYZ file:
```
4
Lattice="2.458 0.000 0.000 0.000 2.458 0.000 0.000 0.000 7.361" Properties=species:S:1:pos:R:3 pbc="T T T"
Li 0.000 0.000 0.000
Cu 1.229 1.229 5.357
Ni 0.000 0.000 3.574
Ni 1.229 1.229 1.906
```

6.
Below is a PBEsol-optimized structure of Al2ZnNi2, with properties calculated at the SCAN level.

Calculated values
- calculated formation energy (eV/atom) = -0.527
- V (Å³/atom) = 12.666
- density of states at the Fermi level (states/eV per cell) = 2.16

extended XYZ file:
```
10
Lattice="6.653 0.000 0.000 0.000 6.653 0.000 0.000 0.000 2.862" Properties=species:S:1:pos:R:3 pbc="T T T"
Al 1.013 2.314 0.000
Al 2.314 5.640 0.000
Al 4.339 1.013 0.000
Al 5.640 4.339 0.000
Zn 0.000 0.000 1.431
Zn 3.326 3.326 1.431
Ni 0.956 4.283 1.431
Ni 2.370 0.956 1.431
Ni 4.283 5.697 1.431
Ni 5.697 2.370 1.431
```

7.
Below is a PBEsol-optimized structure of BRhI2O, with properties calculated at the SCAN level.

Calculated values
- raw formation energy (kJ/mol of atoms) = 28.6
- V (Å³/atom) = 16.171
- density of states at the Fermi level (states/eV per cell) = 2.14

extended XYZ file:
```
5
Lattice="5.250 0.000 0.000 0.000 5.250 0.000 0.000 0.000 2.933" Properties=species:S:1:pos:R:3 pbc="T T T"
B 0.000 0.000 0.000
Rh 2.625 2.625 1.467
I 0.000 2.625 0.000
I 2.625 0.000 0.000
O 0.000 0.000 1.467
```

8.
Below is a PBEsol-optimized structure of Sc2ZnCd, with properties calculated at the SCAN level.

Calculated values
- calculated formation energy (eV/atom) = -0.431
- V (Å³/atom) = 19.600
- density of states at the Fermi level (states/eV per cell) = 2.80

extended XYZ file:
```
4
Lattice="3.412 0.000 0.000 0.000 4.793 0.000 0.000 0.000 4.794" Properties=species:S:1:pos:R:3 pbc="T T T"
Sc 0.000 0.000 0.000
Sc 0.000 2.397 2.385
Zn 1.706 2.397 4.779
Cd 1.706 0.000 2.400
```